a:
An optimized crystal structure of MgVSbTe2, computed with PBE-GGA.

N(E_F) (states/eV per atom): 1.54
Crystal system: tetragonal

Cell and atoms, written as POSCAR:
```
MgVSbTe2
1.0
5.4454 0.0000 0.0000
0.0000 5.4454 0.0000
0.0000 0.0000 5.1914
Mg Te Sb V
1 2 1 1
direct
0.0000 0.0000 0.0000
0.5000 0.0000 0.0000
0.0000 0.5000 0.0000
0.0000 0.0000 0.5000
0.5000 0.5000 0.5000
```


b:
An optimized crystal structure of MgVSbTe2, computed with PBE-GGA.

N(E_F) (states/eV per atom): 0.91
Crystal system: tetragonal

Cell and atoms, written as POSCAR:
```
MgVSbTe2
1.0
-4.8278 1.5903 1.2855
-2.0430 -3.8940 -2.8552
0.0881 -3.1071 4.1746
V Te Mg Sb
1 2 1 1
direct
0.0000 0.0000 0.0000
0.5000 0.0000 0.0000
0.0000 0.5000 0.0000
0.5000 0.5000 0.5000
0.0000 0.0000 0.5000
```


The most stable arrangement is b, and the next structure is 770 meV/atom less stable.